DFT (PBE) results for MgTaTiNb after structural relaxation.

POSCAR file:
```
MgTaTiNb
1.0
4.6854 0.0000 0.0000
2.3427 4.0577 0.0000
2.3427 1.3526 3.8256
Mg Ta Nb Ti
1 1 1 1
Direct
0.2500 0.2500 0.2500 Mg
0.7500 0.7500 0.7500 Ta
0.5000 0.5000 0.5000 Nb
0.0000 0.0000 0.0000 Ti
```

Values from the calculation:
formation energy from the elements = 78 kJ/mol of formula units
calculated volume = 72.7 Å³/cell
symmetry = F-43m (216)

***

DFT (PBE) results for Sm4HAu2 after structural relaxation.

POSCAR file:
```
Sm4HAu2
1.0
-0.6665 4.5469 1.1748
-4.5401 -0.9272 1.0132
4.5462 -3.3988 6.1584
Sm Au H
4 2 1
Direct
0.8153 0.8153 0.6307 Sm
0.0000 0.5000 0.0000 Sm
0.5000 0.0000 0.0000 Sm
0.1847 0.1847 0.3693 Sm
0.3694 0.3694 0.7388 Au
0.6306 0.6306 0.2612 Au
0.0000 0.0000 0.0000 H
```

Values from the calculation:
calculated volume = 172.7 Å³/cell
symmetry = I4/mmm (139)

***

DFT (PBE) results for Tb2Dy4Er after structural relaxation.

POSCAR file:
```
Tb2Dy4Er
1.0
6.0533 0.0000 -0.2726
0.0000 6.5391 0.0000
-2.3570 0.0000 11.2323
Tb Dy Er
4 8 2
Direct
0.3964 0.2500 0.0052 Tb
0.2855 0.2500 0.4258 Tb
0.7145 0.7500 0.5742 Tb
0.6036 0.7500 0.9948 Tb
0.6520 0.5060 0.2881 Dy
0.0276 0.7500 0.8587 Dy
0.3480 0.4940 0.7119 Dy
0.6520 0.9940 0.2881 Dy
0.1516 0.7500 0.4452 Dy
0.3480 0.0060 0.7119 Dy
0.8484 0.2500 0.5548 Dy
0.9724 0.2500 0.1413 Dy
0.8493 0.2500 0.8404 Er
0.1507 0.7500 0.1596 Er
```

Values from the calculation:
formation energy from the elements = 93 kJ/mol of formula units
calculated volume = 440.4 Å³/cell
symmetry = P2_1/m (11)
relative energy among the computed polymorphs = 135.2 meV per atom

***

DFT (PBE) results for ZrZnSi after structural relaxation.

POSCAR file:
```
ZrZnSi
1.0
-1.2527 0.8030 -2.6291
-1.7538 -0.7707 2.3359
-0.1299 6.5070 2.0493
Zr Zn Si
1 1 1
Direct
0.3333 0.6667 0.6745 Zr
0.6667 0.3333 0.3156 Zn
0.0000 0.0000 0.0099 Si
```

Values from the calculation:
calculated volume = 53.9 Å³/cell
raw formation energy = 0.01 eV/atom
symmetry = P3m1 (156)

***

| no. | E (eV/atom) | DOS(E_F) (states/eV per atom) | M_tot (μB per cell) |
| --- | --- | --- | --- |
| 1 | -7.65 | 1.312 | 0.000 |
| 2 | -4.62 | 1.408 | 0.001 |
| 3 | -4.47 | 1.702 | 0.000 |
| 4 | -5.07 | 0.656 | 0.000 |